Computed, not measured: DyTmTlTe3 after structural relaxation at the GGA-PBE level of DFT.

a b c (Å): 4.399 15.364 11.952
angles (deg): 90.00 90.00 90.00
Space group Cmcm (No. 63)
Asymmetric unit:
Dy (0.000, 0.000, 0.000) (multiplicity 4)
Tm (0.000, 0.435, 0.250) (multiplicity 4)
Tl (0.000, 0.252, 0.750) (multiplicity 4)
Te (0.000, 0.063, 0.250) (multiplicity 4)
Te (0.000, 0.357, 0.029) (multiplicity 8)

VASP energy = -106.5 eV per cell
Calculated density = 7.55 Mg/m³
Crystal system = orthorhombic